NiMoPd | PBE | relaxed

Geometry as POSCAR:
```
NiMoPd
1.0
5.378 0.000 0.000
0.000 2.635 0.000
0.000 0.000 6.231
Ni Mo Pd
2 2 2
Cartesian
0.000 0.000 0.000
2.689 0.000 0.000
1.344 1.318 1.855
4.033 1.318 4.376
1.344 1.318 4.387
4.033 1.318 1.844
```

Results
crystal system	orthorhombic
space group	Pmma
raw total energy	-41.79	eV per cell
volume	88.3	Å³/cell
total magnetization	0.00	μB/f.u.
DFT formation energy	0.303	eV per atom
excess energy over the best structure of this formula in the dataset	359	meV/atom
N(E_F)	1.390	states/eV/atom

YTa2 | PBE | relaxed

Geometry as POSCAR:
```
YTa2
1.0
-1.778 1.778 5.377
1.778 -1.778 5.377
1.778 1.778 -5.377
Y Ta
1 2
Cartesian
0.000 0.000 0.000
0.000 0.000 3.252
0.000 0.000 7.503
```

Results
crystal system	tetragonal
space group	I4/mmm
raw total energy	-29.43	eV per cell
volume	68.0	Å³/cell
total magnetization	0.00	μB/f.u.
DFT formation energy	0.246	eV per atom
excess energy over the best structure of this formula in the dataset	0	meV/atom
N(E_F)	0.992	states/eV/atom

Ac6IrPd3 | PBE | relaxed

Geometry as POSCAR:
```
Ac6IrPd3
1.0
7.372 0.000 0.000
0.000 8.126 0.000
-7.189 0.000 11.337
Ac Ir Pd
12 2 6
Cartesian
-1.115 0.445 2.774
-4.710 3.618 8.443
1.258 5.573 0.913
-2.336 6.616 6.581
2.393 1.438 0.849
-1.201 2.625 6.517
1.384 5.501 4.820
-2.211 6.688 10.488
2.519 1.510 4.755
-1.076 2.553 10.424
4.893 4.508 2.894
1.298 7.681 8.562
0.000 0.000 0.000
-3.595 4.063 5.668
-3.149 0.899 8.569
0.445 3.164 2.900
0.091 0.000 5.668
3.686 4.063 0.000
-0.263 4.962 8.437
3.332 7.227 2.768
```

Results
crystal system	monoclinic
space group	P2_1/c
raw total energy	-111.04	eV per cell
volume	679.1	Å³/cell
total magnetization	0.00	μB/f.u.
DFT formation energy	-0.643	eV per atom
excess energy over the best structure of this formula in the dataset	0	meV/atom
N(E_F)	0.583	states/eV/atom

K2SrTc | PBE | relaxed

Geometry as POSCAR:
```
K2SrTc
1.0
4.951 0.000 0.000
0.000 4.951 0.000
0.000 0.000 6.510
K Sr Tc
2 1 1
Cartesian
0.000 2.476 0.000
2.476 0.000 0.000
0.000 0.000 3.255
2.476 2.476 3.255
```

Results
crystal system	tetragonal
space group	P4/mmm
raw total energy	-9.97	eV per cell
volume	159.6	Å³/cell
total magnetization	3.08	μB/f.u.
DFT formation energy	1.068	eV per atom
excess energy over the best structure of this formula in the dataset	204	meV/atom
N(E_F)	1.102	states/eV/atom

Which value of N(E_F) does entry 4 give? 1.102 states/eV/atom